Arrangement P

Material: Sr3CaPd
Method: DFT, PBE
State: relaxed

- Space group: Cm (8)
- Density of states at the Fermi level: 2.8 states/eV/f.u.

a b c (Å): 4.256 7.175 13.914
angles (deg): 85.20 81.20 72.75
Atoms (fractional coordinates):
Sr 0.446 0.965 0.142
Sr 0.772 0.685 0.771
Sr 0.096 0.171 0.636
Sr 0.982 0.126 0.910
Sr 0.773 0.077 0.377
Sr 0.434 0.619 0.513
Ca 0.118 0.501 0.264
Ca 0.236 0.521 0.006
Pd 0.774 0.313 0.139
Pd 0.429 0.359 0.783

Arrangement Q

Material: Sr3CaPd
Method: DFT, PBE
State: relaxed

- Space group: P1 (1)
- Density of states at the Fermi level: 4.8 states/eV/f.u.

a b c (Å): 8.248 8.490 8.148
angles (deg): 75.36 127.00 104.62
Atoms (fractional coordinates):
Sr 0.789 0.963 0.916
Sr 0.374 0.582 0.003
Sr 0.293 0.211 0.427
Sr 0.869 0.333 0.505
Sr 0.285 0.710 0.414
Sr 0.867 0.833 0.503
Ca 0.785 0.460 0.930
Ca 0.383 0.089 0.011
Pd 0.568 0.025 0.444
Pd 0.826 0.644 0.204

Which structure is the most stable? The one labeled arrangement P.

Arrangement P

Material: SrCaPd2
Method: DFT, PBE
State: relaxed

- Space group: I-42d (122)
- Density of states at the Fermi level: 1.0 states/eV/f.u.

a b c (Å): 7.856 7.856 6.458
angles (deg): 52.54 52.54 90.00
Atoms (fractional coordinates):
Sr 0.000 0.000 0.000
Sr 0.750 0.250 0.500
Ca 0.500 0.500 0.000
Ca 0.250 0.750 0.500
Pd 0.612 0.125 0.250
Pd 0.138 0.625 0.250
Pd 0.375 0.388 0.750
Pd 0.875 0.862 0.750

Arrangement Q

Material: SrCaPd2
Method: DFT, PBE
State: relaxed

- Space group: Pm (6)
- Density of states at the Fermi level: 1.5 states/eV/f.u.

a b c (Å): 4.123 4.483 5.936
angles (deg): 90.00 110.44 90.00
Atoms (fractional coordinates):
Sr 0.726 0.000 0.989
Ca 0.447 0.500 0.433
Pd 0.154 0.500 0.846
Pd 0.004 0.000 0.549

Which structure is the most stable? The one labeled arrangement Q.

Arrangement P

Material: SrCaPd2
Method: DFT, PBE
State: relaxed

- Space group: P4/mmm (123)
- Density of states at the Fermi level: 2.3 states/eV/f.u.

a b c (Å): 3.642 3.642 7.258
angles (deg): 90.00 90.00 90.00
Atoms (fractional coordinates):
Sr 0.500 0.500 0.500
Ca 0.500 0.500 0.000
Pd 0.000 0.000 0.777
Pd 0.000 0.000 0.223

Arrangement Q

Material: SrCaPd2
Method: DFT, PBE
State: relaxed

- Space group: Fm-3m (225)
- Density of states at the Fermi level: 1.2 states/eV/f.u.

a b c (Å): 5.141 5.141 5.141
angles (deg): 60.00 60.00 60.00
Atoms (fractional coordinates):
Sr 0.500 0.500 0.500
Ca 0.000 0.000 0.000
Pd 0.250 0.250 0.250
Pd 0.750 0.750 0.750

Which structure is the most stable? The one labeled arrangement P.